No. 1
La6Sm12Y | PBE | optimized geometry

## Properties
SG	R-3m
total energy	-85.23	eV/cell
energy above the lowest structure with this stoichiometry	263	meV per atom
energy of formation	0.3910	eV/atom
density of states at the Fermi level	28.5	states/eV per cell

Cell lengths 9.6511, 9.6511, 9.6511 Å; angles 109.49, 109.49, 109.49 degrees
Element x y z (fractional)
La (0.2182, 0.6749, 0.6749)
La (0.3251, 0.3251, 0.7818)
La (0.3251, 0.7818, 0.3251)
La (0.6749, 0.2182, 0.6749)
La (0.6749, 0.6749, 0.2182)
La (0.7818, 0.3251, 0.3251)
Sm (0.1071, 0.5000, 0.8929)
Sm (0.1071, 0.8929, 0.5000)
Sm (0.1841, 0.3867, 0.3867)
Sm (0.3867, 0.1841, 0.3867)
Sm (0.3867, 0.3867, 0.1841)
Sm (0.5000, 0.1071, 0.8929)
Sm (0.5000, 0.8929, 0.1071)
Sm (0.6133, 0.6133, 0.8159)
Sm (0.6133, 0.8159, 0.6133)
Sm (0.8159, 0.6133, 0.6133)
Sm (0.8929, 0.1071, 0.5000)
Sm (0.8929, 0.5000, 0.1071)
Y (0.0000, 0.0000, 0.0000)


No. 2
Th2B4Os3 | PBE | optimized geometry

## Properties
SG	Fmmm
total energy	-74.66	eV/cell
energy of formation	0.0646	eV/atom
density of states at the Fermi level	6.5	states/eV per cell

Cell lengths 7.1329, 6.0588, 5.4416 Å; angles 76.46, 55.67, 47.87 degrees
Element x y z (fractional)
Th (0.1524, 0.1524, 0.8476)
Th (0.8476, 0.8476, 0.1524)
B (0.1840, 0.5375, 0.4625)
B (0.4625, 0.8160, 0.1840)
B (0.5375, 0.1840, 0.8160)
B (0.8160, 0.4625, 0.5375)
Os (0.0000, 0.0000, 0.5000)
Os (0.5000, 0.5000, 0.0000)
Os (0.5000, 0.5000, 0.5000)


No. 3
HgP2Pb | PBE | optimized geometry

## Properties
SG	C2/m
total energy	-13.48	eV/cell
energy above the lowest structure with this stoichiometry	212	meV per atom
energy of formation	0.3364	eV/atom
density of states at the Fermi level	1.7	states/eV per cell

Cell lengths 4.0084, 4.0084, 6.8281 Å; angles 107.08, 107.08, 59.89 degrees
Element x y z (fractional)
Hg (0.0000, 0.0000, 0.0000)
P (0.2575, 0.2575, 0.7685)
P (0.7425, 0.7425, 0.2315)
Pb (0.5000, 0.5000, 0.5000)


No. 4
Na10B17C3 | PBE | optimized geometry

## Properties
SG	Cm
total energy	-148.06	eV/cell
energy above the lowest structure with this stoichiometry	6	meV per atom
energy of formation	0.2106	eV/atom
density of states at the Fermi level	8.8	states/eV per cell

Cell lengths 11.8624, 11.8624, 10.2101 Å; angles 105.52, 105.52, 13.69 degrees
Element x y z (fractional)
Na (0.0000, 0.0000, 0.0000)
Na (0.1004, 0.1004, 0.6950)
Na (0.1983, 0.1983, 0.3972)
Na (0.2985, 0.2985, 0.0978)
Na (0.4003, 0.4003, 0.7978)
Na (0.5005, 0.5005, 0.4982)
Na (0.5997, 0.5997, 0.1981)
Na (0.6976, 0.6976, 0.8971)
Na (0.7991, 0.7991, 0.5951)
Na (0.9001, 0.9001, 0.2986)
B (0.0786, 0.0786, 0.4052)
B (0.1116, 0.1116, 0.9724)
B (0.1768, 0.1768, 0.1023)
B (0.2737, 0.2737, 0.7970)
B (0.3184, 0.3184, 0.3862)
B (0.3811, 0.3811, 0.5099)
B (0.4221, 0.4221, 0.0925)
B (0.4881, 0.4881, 0.2234)
B (0.5239, 0.5239, 0.7955)
B (0.6185, 0.6185, 0.4859)
B (0.6842, 0.6842, 0.6178)
B (0.7148, 0.7148, 0.1792)
B (0.7782, 0.7782, 0.3067)
B (0.8168, 0.8168, 0.8826)
B (0.8796, 0.8796, 0.0078)
B (0.9222, 0.9222, 0.5917)
B (0.9845, 0.9845, 0.7161)
C (0.0191, 0.0191, 0.2849)
C (0.2156, 0.2156, 0.6812)
C (0.5822, 0.5822, 0.9132)